# 1
The following is a GGA-PBE calculation of crystalline Ba2LiMg6Hg at its relaxed geometry, from Alexandria via LeMat-Bulk.

Lattice parameters (Å, degrees): 7.540 7.540 7.541 60.03 60.03 90.09
Fractional coordinates of all 10 atoms:
Mg  0.743  0.743  0.000
Ba  0.750  0.250  0.500
Mg  0.257  0.257  0.486
Mg  0.743  0.743  0.514
Li  0.500  0.500  0.000
Mg  0.743  0.257  0.000
Hg  0.000  0.000  0.000
Mg  0.257  0.257  0.000
Mg  0.257  0.743  0.000
Ba  0.250  0.750  0.500

- Energy relative to the elements: -0.026 eV per atom

***

# 2
The following is a GGA-PBE calculation of crystalline BaLiMgHg3 at its relaxed geometry, from Alexandria via LeMat-Bulk.

Lattice parameters (Å, degrees): 7.066 7.057 7.486 118.12 90.00 90.00
Fractional coordinates of all 12 atoms:
Hg  0.000  0.732  0.000
Hg  0.500  0.732  0.000
Mg  0.750  0.620  0.239
Ba  0.250  0.712  0.424
Ba  0.750  0.288  0.576
Hg  0.250  0.166  0.333
Hg  0.500  0.268  0.000
Li  0.750  0.040  0.079
Hg  0.750  0.834  0.667
Li  0.250  0.960  0.921
Mg  0.250  0.380  0.761
Hg  0.000  0.268  0.000

- Energy relative to the elements: -0.286 eV per atom

***

# 3
The following is a GGA-PBE calculation of crystalline BaLiMg2Hg4 at its relaxed geometry, from Alexandria via LeMat-Bulk.

Lattice parameters (Å, degrees): 4.858 4.858 10.420 76.52 76.52 60.00
Fractional coordinates of all 8 atoms:
Hg  0.135  0.135  0.594
Mg  0.767  0.767  0.700
Ba  0.000  0.000  0.000
Li  0.500  0.500  0.500
Mg  0.233  0.233  0.300
Hg  0.402  0.402  0.793
Hg  0.598  0.598  0.207
Hg  0.865  0.865  0.406

- Energy relative to the elements: -0.350 eV per atom

***

# 4
The following is a GGA-PBE calculation of crystalline BaLi2MgHg at its relaxed geometry, from Alexandria via LeMat-Bulk.

Lattice parameters (Å, degrees): 5.319 5.319 5.330 90.00 90.00 90.00
Fractional coordinates of all 5 atoms:
Hg  0.000  0.000  0.000
Mg  0.000  0.000  0.500
Ba  0.500  0.500  0.500
Li  0.000  0.500  0.000
Li  0.500  0.000  0.000

- Energy relative to the elements: -0.122 eV per atom

***

# 5
The following is a GGA-PBE calculation of crystalline BaLi6MgHg at its relaxed geometry, from Alexandria via LeMat-Bulk.

Lattice parameters (Å, degrees): 7.350 10.299 8.955 125.10 114.23 90.00
Fractional coordinates of all 18 atoms:
Li  0.073  0.361  0.766
Li  0.073  0.905  0.766
Li  0.307  0.095  0.234
Li  0.693  0.905  0.766
Hg  0.500  0.500  0.000
Mg  0.500  0.000  0.500
Ba  0.314  0.564  0.629
Li  0.579  0.829  0.157
Li  0.421  0.171  0.843
Li  0.927  0.639  0.234
Li  0.693  0.361  0.766
Li  0.002  0.252  0.005
Li  0.927  0.095  0.234
Ba  0.686  0.436  0.371
Li  0.307  0.639  0.234
Mg  0.000  0.000  0.500
Hg  0.500  0.000  0.000
Li  0.998  0.748  0.995

- Energy relative to the elements: 0.015 eV per atom

***

# 6
The following is a GGA-PBE calculation of crystalline BaLiMg2Hg5 at its relaxed geometry, from Alexandria via LeMat-Bulk.

Lattice parameters (Å, degrees): 5.038 6.791 8.349 114.00 107.56 90.00
Fractional coordinates of all 9 atoms:
Hg  0.345  0.601  0.690
Hg  0.345  0.090  0.690
Hg  0.000  0.000  0.000
Hg  0.655  0.399  0.310
Mg  0.191  0.191  0.383
Hg  0.655  0.910  0.310
Li  0.500  0.000  0.000
Ba  0.000  0.500  0.000
Mg  0.809  0.809  0.617

- Energy relative to the elements: -0.243 eV per atom

***

# 7
The following is a GGA-PBE calculation of crystalline Ba2Li3Mg12Hg at its relaxed geometry, from Alexandria via LeMat-Bulk.

Lattice parameters (Å, degrees): 9.116 9.116 9.116 62.01 62.01 62.01
Fractional coordinates of all 18 atoms:
Li  0.000  0.500  0.000
Mg  0.665  0.092  0.665
Mg  0.092  0.665  0.665
Mg  0.335  0.908  0.335
Mg  0.908  0.335  0.335
Mg  0.665  0.665  0.092
Li  0.500  0.000  0.000
Mg  0.335  0.335  0.908
Ba  0.393  0.393  0.393
Hg  0.000  0.000  0.000
Mg  0.113  0.633  0.113
Li  0.000  0.000  0.500
Mg  0.113  0.113  0.633
Mg  0.887  0.367  0.887
Mg  0.633  0.113  0.113
Mg  0.887  0.887  0.367
Mg  0.367  0.887  0.887
Ba  0.607  0.607  0.607

- Energy relative to the elements: 0.273 eV per atom

***

# 8
The following is a GGA-PBE calculation of crystalline Ba2Li3MgHg4 at its relaxed geometry, from Alexandria via LeMat-Bulk.

Lattice parameters (Å, degrees): 4.952 4.952 11.211 90.00 90.00 90.00
Fractional coordinates of all 10 atoms:
Hg  0.000  0.000  0.000
Hg  0.000  0.500  0.359
Li  0.500  0.000  0.890
Mg  0.500  0.500  0.500
Li  0.000  0.000  0.500
Ba  0.000  0.500  0.760
Li  0.000  0.500  0.110
Ba  0.500  0.000  0.240
Hg  0.500  0.000  0.641
Hg  0.500  0.500  0.000

- Energy relative to the elements: -0.366 eV per atom